1.
Cu2Bi4Pb2S9: relaxed, GGA-PBE.

Calculated values
volume = 23.779 A^3/atom
ρ = 6.84 g cm⁻³
total DFT energy (no corrections) = -297.40 eV for the cell shown

a b c (Å): 11.871 4.048 33.645
angles (deg): 90.00 90.00 90.00
Space group Pnma (No. 62)
One atom of each set of equivalent atoms:
Cu1 0.230 0.250 0.098 (multiplicity 4)
Cu2 0.236 0.250 0.431 (multiplicity 4)
Bi1 0.011 0.250 0.938 (multiplicity 4)
Bi2 0.016 0.250 0.276 (multiplicity 4)
Bi3 0.022 0.250 0.608 (multiplicity 4)
Bi4 0.149 0.750 0.180 (multiplicity 4)
Pb1 0.164 0.750 0.504 (multiplicity 4)
Pb2 0.174 0.750 0.836 (multiplicity 4)
S1 0.048 0.250 0.124 (multiplicity 4)
S2 0.048 0.250 0.451 (multiplicity 4)
S3 0.050 0.250 0.786 (multiplicity 4)
S4 0.115 0.750 0.980 (multiplicity 4)
S5 0.118 0.750 0.317 (multiplicity 4)
S6 0.129 0.750 0.649 (multiplicity 4)
S7 0.207 0.250 0.232 (multiplicity 4)
S8 0.211 0.250 0.900 (multiplicity 4)
S9 0.220 0.250 0.567 (multiplicity 4)

2.
CuBi3PbS6: relaxed, GGA-PBE.

Calculated values
volume = 24.372 A^3/atom
energy relative to the lowest polymorph listed for this composition = 0 meV/atom
ρ = 6.75 g cm⁻³

a b c (Å): 4.045 11.172 11.865
angles (deg): 90.00 90.00 90.00
Space group Pmc2_1 (No. 26)
One atom of each set of equivalent atoms:
Cu1 0.000 0.044 0.000 (multiplicity 2)
Bi1 0.000 0.425 0.287 (multiplicity 2)
Bi2 0.500 0.070 0.254 (multiplicity 2)
Bi3 0.500 0.284 0.916 (multiplicity 2)
Pb1 0.000 0.240 0.593 (multiplicity 2)
S1 0.000 0.118 0.817 (multiplicity 2)
S2 0.000 0.191 0.148 (multiplicity 2)
S3 0.000 0.441 0.977 (multiplicity 2)
S4 0.500 0.047 0.553 (multiplicity 2)
S5 0.500 0.300 0.388 (multiplicity 2)
S6 0.500 0.392 0.719 (multiplicity 2)

3.
CuBi3PbS6: relaxed, GGA-PBE.

Calculated values
volume = 24.326 A^3/atom
energy relative to the lowest polymorph listed for this composition = 15 meV/atom
ρ = 6.76 g cm⁻³

a b c (Å): 4.050 11.732 11.263
angles (deg): 90.00 90.00 90.00
Space group Pmn2_1 (No. 31)
One atom of each set of equivalent atoms:
Cu1 0.000 0.009 0.000 (multiplicity 2)
Bi1 0.000 0.245 0.529 (multiplicity 2)
Bi2 0.000 0.406 0.183 (multiplicity 2)
Bi3 0.000 0.722 0.384 (multiplicity 2)
Pb1 0.000 0.914 0.726 (multiplicity 2)
S1 0.000 0.035 0.413 (multiplicity 2)
S2 0.000 0.203 0.061 (multiplicity 2)
S3 0.000 0.377 0.756 (multiplicity 2)
S4 0.000 0.538 0.521 (multiplicity 2)
S5 0.000 0.702 0.834 (multiplicity 2)
S6 0.000 0.864 0.147 (multiplicity 2)

4.
CuBi3PbS6: relaxed, GGA-PBE.

Calculated values
volume = 24.822 A^3/atom
energy relative to the lowest polymorph listed for this composition = 26 meV/atom
ρ = 6.63 g cm⁻³

a b c (Å): 4.047 11.369 11.868
angles (deg): 90.00 90.00 90.00
Space group Pmc2_1 (No. 26)
One atom of each set of equivalent atoms:
Cu1 0.000 0.043 0.000 (multiplicity 2)
Bi1 0.000 0.234 0.623 (multiplicity 2)
Bi2 0.000 0.424 0.291 (multiplicity 2)
Bi3 0.500 0.074 0.242 (multiplicity 2)
Pb1 0.500 0.291 0.937 (multiplicity 2)
S1 0.000 0.101 0.807 (multiplicity 2)
S2 0.000 0.193 0.134 (multiplicity 2)
S3 0.000 0.455 0.977 (multiplicity 2)
S4 0.500 0.053 0.544 (multiplicity 2)
S5 0.500 0.298 0.377 (multiplicity 2)
S6 0.500 0.373 0.710 (multiplicity 2)

5.
Cu2Bi8Pb3Se3S13: relaxed, GGA-PBE.

Calculated values
volume = 26.263 A^3/atom
ρ = 6.70 g cm⁻³
total DFT energy (no corrections) = -251.05 eV for the cell shown

a b c (Å): 27.409 4.075 16.839
angles (deg): 90.00 125.91 90.00
Space group Cm (No. 8)
One atom of each set of equivalent atoms:
Cu1 0.000 0.000 0.000 (multiplicity 2)
Cu2 0.097 0.000 0.979 (multiplicity 2)
Bi1 0.187 0.500 0.224 (multiplicity 2)
Bi2 0.199 0.500 0.720 (multiplicity 2)
Bi3 0.229 0.000 0.474 (multiplicity 2)
Bi4 0.236 0.500 0.011 (multiplicity 2)
Bi5 0.360 0.000 0.966 (multiplicity 2)
Bi6 0.369 0.500 0.504 (multiplicity 2)
Bi7 0.398 0.000 0.256 (multiplicity 2)
Bi8 0.409 0.000 0.755 (multiplicity 2)
Pb1 0.015 0.000 0.205 (multiplicity 2)
Pb2 0.048 0.000 0.482 (multiplicity 2)
Pb3 0.081 0.000 0.774 (multiplicity 2)
Se1 0.071 0.500 0.633 (multiplicity 2)
Se2 0.262 0.000 0.148 (multiplicity 2)
Se3 0.335 0.500 0.828 (multiplicity 2)
S1 0.019 0.500 0.333 (multiplicity 2)
S2 0.108 0.000 0.125 (multiplicity 2)
S3 0.122 0.500 0.941 (multiplicity 2)
S4 0.154 0.500 0.342 (multiplicity 2)
S5 0.184 0.000 0.597 (multiplicity 2)
S6 0.209 0.000 0.858 (multiplicity 2)
S7 0.282 0.000 0.379 (multiplicity 2)
S8 0.317 0.500 0.599 (multiplicity 2)
S9 0.386 0.500 0.116 (multiplicity 2)
S10 0.415 0.500 0.380 (multiplicity 2)
S11 0.444 0.000 0.637 (multiplicity 2)
S12 0.475 0.000 0.038 (multiplicity 2)
S13 0.489 0.500 0.854 (multiplicity 2)

6.
CuBiTe2Pb: relaxed, GGA-PBE.

Calculated values
volume = 34.427 A^3/atom
ρ = 7.09 g cm⁻³
total DFT energy (no corrections) = -15.01 eV for the cell shown

a b c (Å): 5.964 5.964 4.840
angles (deg): 90.00 90.00 90.00
Space group P4/mmm (No. 123)
One atom of each set of equivalent atoms:
Cu1 0.000 0.000 0.000 (multiplicity 1)
Bi1 0.500 0.500 0.000 (multiplicity 1)
Te1 0.000 0.500 0.500 (multiplicity 2)
Pb1 0.000 0.000 0.500 (multiplicity 1)

7.
VCuBiPb2: relaxed, GGA-PBE.

Calculated values
volume = 28.281 A^3/atom
ρ = 8.66 g cm⁻³
energy of formation from the pure elements = 0.962 eV/atom

a b c (Å): 5.139 5.139 5.354
angles (deg): 90.00 90.00 90.00
Space group P4/mmm (No. 123)
One atom of each set of equivalent atoms:
V1 0.000 0.000 0.000 (multiplicity 1)
Cu1 0.500 0.500 0.500 (multiplicity 1)
Bi1 0.500 0.500 0.000 (multiplicity 1)
Pb1 0.000 0.500 0.500 (multiplicity 2)

8.
CuBiPd3: relaxed, GGA-PBE.

Calculated values
volume = 18.427 A^3/atom
energy relative to the lowest polymorph listed for this composition = 58 meV/atom
ρ = 10.67 g cm⁻³
energy of formation from the pure elements = -0.080 eV/atom

a b c (Å): 16.506 4.773 4.776
angles (deg): 90.00 101.66 90.00
Space group C2/m (No. 12)
One atom of each set of equivalent atoms:
Cu1 0.128 0.000 0.354 (multiplicity 4)
Bi1 0.111 0.500 0.983 (multiplicity 4)
Pd1 0.038 0.000 0.774 (multiplicity 4)
Pd2 0.203 0.500 0.546 (multiplicity 4)
Pd3 0.208 0.000 0.888 (multiplicity 4)

9.
CuBiPd: relaxed, GGA-PBE.

Calculated values
volume = 20.989 A^3/atom
energy relative to the lowest polymorph listed for this composition = 62 meV/atom
ρ = 9.99 g cm⁻³
energy of formation from the pure elements = -0.023 eV/atom

a b c (Å): 6.315 6.315 6.315
angles (deg): 90.00 90.00 90.00
Space group F-43m (No. 216)
One atom of each set of equivalent atoms:
Cu1 0.000 0.000 0.000 (multiplicity 4)
Bi1 0.000 0.000 0.500 (multiplicity 4)
Pd1 0.250 0.250 0.250 (multiplicity 4)

10.
Cu2Bi2Pd: relaxed, GGA-PBE.

Calculated values
volume = 19.683 A^3/atom
energy relative to the lowest polymorph listed for this composition = 0 meV/atom
ρ = 10.99 g cm⁻³
energy of formation from the pure elements = 0.056 eV/atom

a b c (Å): 6.993 6.993 4.025
angles (deg): 90.00 90.00 90.00
Space group P4/mbm (No. 127)
One atom of each set of equivalent atoms:
Cu1 0.126 0.374 0.000 (multiplicity 4)
Bi1 0.179 0.679 0.500 (multiplicity 4)
Pd1 0.000 0.000 0.000 (multiplicity 2)

11.
CuBiPd: relaxed, GGA-PBE.

Calculated values
volume = 20.371 A^3/atom
energy relative to the lowest polymorph listed for this composition = 177 meV/atom
ρ = 10.30 g cm⁻³
energy of formation from the pure elements = 0.092 eV/atom

a b c (Å): 5.901 12.400 13.363
angles (deg): 90.00 90.00 90.00
Space group Fddd (No. 70, origin choice 2)
One atom of each set of equivalent atoms:
Cu1 0.125 0.125 0.033 (multiplicity 16)
Bi1 0.000 0.000 0.500 (multiplicity 16)
Pd1 0.125 0.317 0.125 (multiplicity 16)

12.
CuBiPd3: relaxed, GGA-PBE.

Calculated values
volume = 25.717 A^3/atom
energy relative to the lowest polymorph listed for this composition = 1040 meV/atom
ρ = 7.64 g cm⁻³
energy of formation from the pure elements = 0.902 eV/atom

a b c (Å): 5.047 5.047 5.047
angles (deg): 90.00 90.00 90.00
Space group Pm-3m (No. 221)
One atom of each set of equivalent atoms:
Cu1 0.000 0.000 0.000 (multiplicity 1)
Bi1 0.500 0.500 0.500 (multiplicity 1)
Pd1 0.000 0.500 0.500 (multiplicity 3)